VASP calculation (GGA-PBE) on Ac4Ru2Br5 after structural relaxation.

abc: 4.4185 8.8150 19.5363
angles: 90.00 90.00 90.00
With the nearest neighbours (Å) after each atom.
Space group Immm (No. 71)
Symmetry-distinct sites (fractional):
1 Ac 0.0000 0.0000 0.1846  1 Ru 2.40
2 Ac 0.0000 0.2822 0.5000  4 Ru 3.17, 4 Br 3.33-3.45
3 Ru 0.0000 0.0000 0.0618  1 Ac 2.40, 1 Ru 2.41
4 Br 0.0000 0.2225 0.3254  4 Ac 3.30-3.45
5 Br 0.0000 0.5000 0.0000  4 Ac 3.33

Summary:
Fermi-level density of states = 0.29 states/eV/atom
Energy above the lowest structure with this stoichiometry = 32 meV/atom



VASP calculation (GGA-PBE) on Ac4Ru2Br5 after structural relaxation.

abc: 22.9875 4.3693 8.9780
angles: 90.00 97.38 90.00
With the nearest neighbours (Å) after each atom.
Space group C2/m (No. 12)
Symmetry-distinct sites (fractional):
1 Ac 0.0212 0.0000 0.2208  4 Ru 3.03-3.35, 1 Br 3.24
2 Ac 0.1598 0.5000 0.0695  1 Ru 2.42
3 Ru 0.0539 0.5000 0.0132  1 Ac 2.42, 1 Ru 2.46
4 Br 0.0000 0.5000 0.5000  4 Ac 3.41
5 Br 0.1614 0.0000 0.3272  3 Ac 3.18-3.24
6 Br 0.2019 0.0000 0.8428  3 Ac 3.17-3.22

Summary:
Fermi-level density of states = 0.30 states/eV/atom
Energy above the lowest structure with this stoichiometry = 0 meV/atom



VASP calculation (GGA-PBE) on Ac6Ru2SBr3 after structural relaxation.

abc: 7.5619 13.1076 8.5977
angles: 90.00 106.84 90.00
With the nearest neighbours (Å) after each atom.
Space group C2/m (No. 12)
Symmetry-distinct sites (fractional):
1 Ac 0.2153 0.0000 0.1966  2 Ru 2.94, 1 S 3.10
2 Ac 0.2402 0.3252 0.1966  2 Ru 2.94-2.95, 1 S 3.10
3 Ru 0.0000 0.1664 0.0000  6 Ac 2.94-2.95
4 S 0.0000 0.5000 0.0000  6 Ac 3.10
5 Br 0.0000 0.0000 0.5000  6 Ac 3.45-3.60
6 Br 0.0000 0.3307 0.5000  6 Ac 3.45-3.62

Summary:
Fermi-level density of states = 0.84 states/eV/atom



VASP calculation (GGA-PBE) on Ac6SbRu2Br3 after structural relaxation.

abc: 7.8190 13.5298 8.5273
angles: 90.00 107.93 90.00
With the nearest neighbours (Å) after each atom.
Space group C2/m (No. 12)
Symmetry-distinct sites (fractional):
1 Ac 0.1995 0.0000 0.2022  2 Ru 2.98, 1 Sb 3.31
2 Ac 0.2485 0.1843 0.7976  2 Ru 2.97-2.98, 1 Sb 3.31
3 Sb 0.0000 0.5000 0.0000  6 Ac 3.31
4 Ru 0.0000 0.1671 0.0000  6 Ac 2.97-2.98
5 Br 0.0000 0.0000 0.5000  6 Ac 3.37-3.66
6 Br 0.0000 0.3385 0.5000  6 Ac 3.40-3.67

Summary:
Fermi-level density of states = 0.80 states/eV/atom



VASP calculation (GGA-PBE) on Ac4RuSeBr2 after structural relaxation.

abc: 8.1133 4.2903 8.3444
angles: 90.00 106.40 90.00
With the nearest neighbours (Å) after each atom.
Space group P2/m (No. 10)
Symmetry-distinct sites (fractional):
1 Ac 0.2069 0.0000 0.1970  2 Ru 2.93, 1 Se 3.25
2 Ac 0.2418 0.5000 0.7916  1 Ru 2.97, 2 Se 3.16
3 Ru 0.0000 0.5000 0.0000  6 Ac 2.93-2.97
4 Se 0.5000 0.0000 0.0000  6 Ac 3.16-3.25
5 Br 0.0000 0.0000 0.5000  6 Ac 3.41-3.42
6 Br 0.5000 0.5000 0.5000  6 Ac 3.63-3.64

Summary:
Fermi-level density of states = 0.72 states/eV/atom



VASP calculation (GGA-PBE) on Ac6Si2RuBr3 after structural relaxation.

abc: 20.1850 4.4403 9.6123
angles: 90.00 106.09 90.00
With the nearest neighbours (Å) after each atom.
Space group C2/m (No. 12)
Symmetry-distinct sites (fractional):
1 Ac 0.0040 0.0000 0.2152  2 Ru 3.02, 1 Si 3.11
2 Ac 0.1478 0.5000 0.1030  1 Ru 2.87, 2 Si 3.11
3 Ac 0.1755 0.5000 0.5648  3 Si 3.08-3.12, 3 Br 3.42-3.43
4 Si 0.1637 0.0000 0.3370  6 Ac 3.08-3.12
5 Ru 0.0000 0.5000 0.0000  6 Ac 2.87-3.02
6 Br 0.0000 0.5000 0.5000  6 Ac 3.42-3.54
7 Br 0.1742 0.0000 0.8367  6 Ac 3.43-3.54

Summary:
Fermi-level density of states = 0.58 states/eV/atom



VASP calculation (GGA-PBE) on Ac8SiRu3Br4 after structural relaxation.

abc: 8.8018 8.8018 24.4462
angles: 90.00 90.00 120.00
With the nearest neighbours (Å) after each atom.
Space group R-3m (No. 166, hexagonal axes)
Symmetry-distinct sites (fractional):
1 Ac 0.0000 0.0000 0.2352  3 Ru 3.04
2 Ac 0.0150 0.5075 0.7694  2 Ru 2.94, 1 Si 3.08
3 Si 0.0000 0.0000 0.5000  6 Ac 3.08
4 Ru 0.0000 0.5000 0.5000  6 Ac 2.94-3.04
5 Br 0.0000 0.0000 0.0000  6 Ac 3.49
6 Br 0.0000 0.5000 0.0000  6 Ac 3.49-3.62

Summary:
Fermi-level density of states = 0.55 states/eV/atom



VASP calculation (GGA-PBE) on AcSmRuBr after structural relaxation.

abc: 4.1536 4.1536 24.3449
angles: 90.00 90.00 120.00
With the nearest neighbours (Å) after each atom.
Space group R3m (No. 160, hexagonal axes)
Symmetry-distinct sites (fractional):
1 Ac 0.0000 0.0000 0.0000  3 Ru 2.91
2 Sm 0.0000 0.0000 0.2042  3 Ru 2.83
3 Ru 0.0000 0.0000 0.5991  3 Sm 2.83, 3 Ac 2.91
4 Br 0.0000 0.0000 0.7762  3 Sm 3.33, 3 Ac 3.59

Summary:
Fermi-level density of states = 0.69 states/eV/atom



VASP calculation (GGA-PBE) on Ac6TeRu2Br3 after structural relaxation.

abc: 7.8303 13.5434 8.5575
angles: 90.00 107.77 90.00
With the nearest neighbours (Å) after each atom.
Space group C2/m (No. 12)
Symmetry-distinct sites (fractional):
1 Ac 0.1959 0.0000 0.2024  2 Ru 2.97
2 Ac 0.2464 0.1860 0.7972  2 Ru 2.97
3 Te 0.0000 0.5000 0.0000  6 Ac 3.35
4 Ru 0.0000 0.1670 0.0000  6 Ac 2.97
5 Br 0.0000 0.0000 0.5000  6 Ac 3.35-3.68
6 Br 0.0000 0.3386 0.5000  6 Ac 3.39-3.69

Summary:
Fermi-level density of states = 0.83 states/eV/atom



VASP calculation (GGA-PBE) on Ac4TeRuBr2 after structural relaxation.

abc: 8.3072 4.3713 8.4640
angles: 90.00 106.55 90.00
With the nearest neighbours (Å) after each atom.
Space group P2/m (No. 10)
Symmetry-distinct sites (fractional):
1 Ac 0.1989 0.0000 0.2000  2 Ru 2.96
2 Ac 0.2154 0.5000 0.7795  1 Ru 2.93
3 Te 0.0000 0.0000 0.5000  6 Ac 3.34-3.40
4 Ru 0.0000 0.5000 0.0000  6 Ac 2.93-2.96
5 Br 0.5000 0.0000 0.0000  6 Ac 3.37-3.40
6 Br 0.5000 0.5000 0.5000  6 Ac 3.72-3.79

Summary:
Fermi-level density of states = 0.68 states/eV/atom



VASP calculation (GGA-PBE) on AcThRuBr after structural relaxation.

abc: 4.1706 4.1706 24.8274
angles: 90.00 90.00 120.00
With the nearest neighbours (Å) after each atom.
Space group R3m (No. 160, hexagonal axes)
Symmetry-distinct sites (fractional):
1 Ac 0.0000 0.0000 0.0000  3 Ru 3.02
2 Th 0.0000 0.0000 0.2062  3 Ru 2.75
3 Ru 0.0000 0.0000 0.5929  3 Th 2.75, 3 Ac 3.02
4 Br 0.0000 0.0000 0.7723  3 Th 3.47, 3 Ac 3.56

Summary:
Fermi-level density of states = 0.23 states/eV/atom



VASP calculation (GGA-PBE) on Ac8TlRu3Br4 after structural relaxation.

abc: 8.9106 8.9106 24.5798
angles: 90.00 90.00 120.00
With the nearest neighbours (Å) after each atom.
Space group R-3m (No. 166, hexagonal axes)
Symmetry-distinct sites (fractional):
1 Ac 0.0000 0.0000 0.2345  3 Ru 3.07
2 Ac 0.0273 0.5136 0.7685  2 Ru 2.94, 1 Tl 3.21
3 Tl 0.0000 0.0000 0.5000  6 Ac 3.21
4 Ru 0.0000 0.5000 0.5000  6 Ac 2.94-3.07
5 Br 0.0000 0.0000 0.0000  6 Ac 3.44
6 Br 0.0000 0.5000 0.0000  6 Ac 3.54-3.67

Summary:
Fermi-level density of states = 0.34 states/eV/atom



VASP calculation (GGA-PBE) on Ac8ZnRu3Br4 after structural relaxation.

abc: 8.7346 8.7346 24.8133
angles: 90.00 90.00 120.00
With the nearest neighbours (Å) after each atom.
Space group R-3m (No. 166, hexagonal axes)
Symmetry-distinct sites (fractional):
1 Ac 0.0000 0.0000 0.2332  3 Ru 3.01
2 Ac 0.0166 0.5083 0.7684  2 Ru 2.94, 1 Zn 3.10
3 Zn 0.0000 0.0000 0.5000  6 Ac 3.10
4 Ru 0.0000 0.5000 0.5000  6 Ac 2.94-3.01
5 Br 0.0000 0.0000 0.0000  6 Ac 3.48
6 Br 0.0000 0.5000 0.0000  6 Ac 3.54-3.61

Summary:
Fermi-level density of states = 0.36 states/eV/atom



VASP calculation (GGA-PBE) on Ac6ZnRu2Br3 after structural relaxation.

abc: 7.6144 13.1944 8.6595
angles: 90.00 106.95 90.00
With the nearest neighbours (Å) after each atom.
Space group C2/m (No. 12)
Symmetry-distinct sites (fractional):
1 Ac 0.2082 0.0000 0.1975  2 Ru 2.95, 1 Zn 3.17
2 Ac 0.2442 0.3214 0.1976  2 Ru 2.95, 1 Zn 3.18
3 Zn 0.0000 0.5000 0.0000  6 Ac 3.17-3.18
4 Ru 0.0000 0.1665 0.0000  6 Ac 2.95
5 Br 0.0000 0.0000 0.5000  6 Ac 3.43-3.64
6 Br 0.0000 0.3318 0.5000  6 Ac 3.43-3.65

Summary:
Fermi-level density of states = 0.48 states/eV/atom



VASP calculation (GGA-PBE) on Ac2SBr after structural relaxation.

abc: 4.1179 4.1179 25.5367
angles: 90.00 90.00 120.00
With the nearest neighbours (Å) after each atom.
Space group R3m (No. 160, hexagonal axes)
Symmetry-distinct sites (fractional):
1 Ac 0.0000 0.0000 0.0000  3 S 2.97
2 Ac 0.0000 0.0000 0.1907  3 S 3.02
3 S 0.0000 0.0000 0.5969  6 Ac 2.97-3.02
4 Br 0.0000 0.0000 0.7625  6 Ac 3.39-3.41

Summary:
Fermi-level density of states = 0.76 states/eV/atom
Energy above the lowest structure with this stoichiometry = 28 meV/atom



VASP calculation (GGA-PBE) on AcSBr after structural relaxation.

abc: 4.5873 4.5873 6.8666
angles: 90.00 90.00 120.00
With the nearest neighbours (Å) after each atom.
Space group P3m1 (No. 156)
Symmetry-distinct sites (fractional):
1 Ac 0.0000 0.0000 0.0000  3 S 2.88
2 S 0.3333 0.6667 0.1652  3 Ac 2.88
3 Br 0.6667 0.3333 0.7297  3 Ac 3.23

Summary:
Fermi-level density of states = 0.00 states/eV/atom
Energy above the lowest structure with this stoichiometry = 152 meV/atom



VASP calculation (GGA-PBE) on AcSBr after structural relaxation.

abc: 7.2581 14.7515 7.4046
angles: 90.00 90.00 90.00
With the nearest neighbours (Å) after each atom.
Space group Pbca (No. 61)
Symmetry-distinct sites (fractional):
1 Ac 0.2440 0.0941 0.0278  4 S 2.95-2.97, 2 Br 3.20-3.25
2 S 0.0001 0.0191 0.7438  4 Ac 2.95-2.97
3 Br 0.1377 0.7100 0.3831  3 Ac 3.20-3.32

Summary:
Fermi-level density of states = 0.00 states/eV/atom
Energy above the lowest structure with this stoichiometry = 0 meV/atom



VASP calculation (GGA-PBE) on AcS5Br after structural relaxation.

abc: 4.5806 5.3737 9.7734
angles: 74.69 84.21 71.66
With the nearest neighbours (Å) after each atom.
Space group P1 (No. 1)
Symmetry-distinct sites (fractional):
1 Ac 0.0000 0.0000 0.0000  4 S 2.92-3.05, 2 Br 3.08-3.12
2 S 0.1582 0.4147 0.1155  1 S 2.12
3 S 0.3633 0.6886 0.3455  2 S 2.10-2.13
4 S 0.5750 0.5097 0.0497  1 S 2.12
5 S 0.6013 0.9659 0.3536  2 S 2.09-2.13
6 S 0.9812 0.7537 0.4839  2 S 2.09-2.10
7 Br 0.4862 0.1525 0.7802  2 Ac 3.08-3.12



VASP calculation (GGA-PBE) on Ac6S8Br after structural relaxation.

abc: 8.8736 8.8736 19.0174
angles: 90.00 90.00 120.00
With the nearest neighbours (Å) after each atom.
Space group R-3 (No. 148, hexagonal axes)
Symmetry-distinct sites (fractional):
1 Ac 0.0034 0.6524 0.4232  6 S 2.96-3.27
2 S 0.0000 0.0000 0.1680  6 Ac 3.21-3.27, 6 S 3.56-3.57
3 S 0.0034 0.6802 0.6005  4 Ac 2.96-3.02
4 Br 0.0000 0.0000 0.5000  6 Ac 3.43, 6 S 3.43

Summary:
Fermi-level density of states = 0.29 states/eV/atom



VASP calculation (GGA-PBE) on AcSBr after structural relaxation.

abc: 13.8600 7.0112 6.9642
angles: 90.00 90.00 90.00
With the nearest neighbours (Å) after each atom.
Space group Pmn2_1 (No. 31)
Symmetry-distinct sites (fractional):
1 Ac 0.0000 0.2304 0.0000  3 S 2.85-2.86
2 Ac 0.1683 0.7171 0.6024  3 S 2.85-2.93, 2 Br 3.13-3.16
3 S 0.0000 0.8835 0.7866  3 Ac 2.85-2.91
4 S 0.1735 0.3909 0.8459  3 Ac 2.85-2.93
5 Br 0.0000 0.5647 0.3372  3 Ac 3.16-3.32
6 Br 0.1579 0.0820 0.3066  3 Ac 3.13-3.29

Summary:
Fermi-level density of states = 0.00 states/eV/atom
Energy above the lowest structure with this stoichiometry = 150 meV/atom



Energy in eV/atom, matching the order above: -5.05, -5.08, -5.49, -5.33, -5.24, -5.11, -5.43, -5.70, -5.30, -5.10, -6.50, -5.19, -5.13, -4.97, -5.05, -5.31, -5.46, -4.53, -6.04, -5.31
Magnetization in μB per atom, matching the order above: 0.000, 0.000, 0.000, 0.000, 0.000, 0.000, 0.000, 0.000, 0.000, 0.000, 0.000, 0.000, 0.000, 0.000, 0.146, 0.000, 0.000, 0.000, 0.000, 0.000
Energy relative to the elements, uncorrected in meV per atom, matching the order above: -1111, -1143, -1124, -967, -1173, -966, -879, -757, -1022, -1076, -877, -827, -840, -845, -1541, -2008, -2160, -754, -2084, -2010